No. 1
The following is a GGA-PBE calculation of an optimized crystal structure of Hf12Al3Tl, from the Alexandria database.

Lattice parameters (Å, degrees): 4.3623 4.3623 17.4361 90.00 90.00 90.00
Closest atoms and distances in Å follow each position.
Fractional coordinates of all 16 atoms:
Hf 0.0000 0.5000 0.1311  2 Al 3.04, 8 Hf 3.05-3.16, 2 Tl 3.16
Hf 0.5000 0.0000 0.3766  4 Al 3.06-3.07, 8 Hf 3.06-3.08
Hf 0.0000 0.5000 0.6234  8 Hf 3.06-3.08, 4 Al 3.06-3.07
Hf 0.5000 0.5000 0.5000  8 Hf 3.06, 4 Al 3.08
Hf 0.5000 0.5000 0.0000  4 Tl 3.08, 8 Hf 3.16
Hf 0.0000 0.5000 0.8689  2 Al 3.04, 8 Hf 3.05-3.16, 2 Tl 3.16
Hf 0.5000 0.5000 0.7468  8 Hf 3.05-3.06, 4 Al 3.08
Al 0.0000 0.0000 0.2527  12 Hf 3.04-3.08
Hf 0.0000 0.5000 0.3766  8 Hf 3.06-3.08, 4 Al 3.06-3.07
Hf 0.5000 0.5000 0.2532  8 Hf 3.05-3.06, 4 Al 3.08
Hf 0.5000 0.0000 0.1311  2 Al 3.04, 8 Hf 3.05-3.16, 2 Tl 3.16
Al 0.0000 0.0000 0.5000  12 Hf 3.06-3.08
Hf 0.5000 0.0000 0.6234  4 Al 3.06-3.07, 8 Hf 3.06-3.08
Tl 0.0000 0.0000 0.0000  12 Hf 3.08-3.16
Hf 0.5000 0.0000 0.8689  2 Al 3.04, 8 Hf 3.05-3.16, 2 Tl 3.16
Al 0.0000 0.0000 0.7473  12 Hf 3.04-3.08

Properties
- Formation energy from the elements: -0.17 eV/atom
- Magnetization: 0.00 μB/f.u.
- Calculated volume: 331.80 Å³ per cell
- Space-group type: P4/mmm (123)

=====

No. 2
The following is a GGA-PBE calculation of an optimized crystal structure of CeMg2Zn9, from the Alexandria database.

Lattice parameters (Å, degrees): 2.9174 9.1979 9.1979 120.00 90.00 90.00
Closest atoms and distances in Å follow each position.
Fractional coordinates of all 12 atoms:
Zn 0.0000 0.5000 0.5000  2 Mg 2.66, 10 Zn 2.92-2.97
Mg 0.0000 0.6667 0.3333  9 Zn 2.66-2.90, 2 Mg 2.92
Ce 0.0000 0.0000 0.0000  2 Ce 2.92, 12 Zn 3.17
Zn 0.5000 0.3527 0.1763  8 Zn 2.81-2.97, 2 Mg 2.90
Zn 0.5000 0.8237 0.1763  8 Zn 2.81-2.97, 2 Mg 2.90
Zn 0.5000 0.6473 0.8237  8 Zn 2.81-2.97, 2 Mg 2.90
Zn 0.5000 0.8237 0.6473  8 Zn 2.81-2.97, 2 Mg 2.90
Zn 0.5000 0.1763 0.3527  8 Zn 2.81-2.97, 2 Mg 2.90
Zn 0.0000 0.0000 0.5000  2 Mg 2.66, 10 Zn 2.92-2.97
Mg 0.0000 0.3333 0.6667  9 Zn 2.66-2.90, 2 Mg 2.92
Zn 0.5000 0.1763 0.8237  8 Zn 2.81-2.97, 2 Mg 2.90
Zn 0.0000 0.5000 0.0000  2 Mg 2.66, 10 Zn 2.92-2.97

Properties
- Formation energy from the elements: 0.00 eV/atom
- Excess energy over the best structure of this formula in the dataset: 0.1753 eV per atom
- Magnetization: 0.87 μB/f.u.
- Calculated volume: 213.75 Å³ per cell
- Space-group type: P6/mmm (191)